Crystalline Sn2SeS2 at its relaxed geometry, computed with PBEsol.

Computed properties:
Total energy: -4.64 eV per atom
Symmetry: Pnma, No. 62
V: 476.4 Å³/cell
Crystal system: orthorhombic

```
data_Sn2SeS2
_space_group_name_H-M_alt 'P 1'
_space_group_IT_number 1
_cell_length_a 3.837
_cell_length_b 8.955
_cell_length_c 13.867
_cell_angle_alpha 90.00
_cell_angle_beta 90.00
_cell_angle_gamma 90.00
loop_
_space_group_symop_operation_xyz
'x,y,z'
loop_
_atom_site_label
_atom_site_fract_x
_atom_site_fract_y
_atom_site_fract_z
Se1 0.750 0.848 0.512
Se2 0.250 0.152 0.488
Se3 0.250 0.652 0.012
Se4 0.750 0.348 0.988
Sn1 0.750 0.982 0.322
Sn2 0.750 0.335 0.553
Sn3 0.750 0.835 0.947
Sn4 0.250 0.518 0.822
Sn5 0.250 0.165 0.053
Sn6 0.750 0.482 0.178
Sn7 0.250 0.018 0.678
Sn8 0.250 0.665 0.447
S1 0.250 0.285 0.218
S2 0.750 0.985 0.108
S3 0.250 0.785 0.282
S4 0.750 0.215 0.718
S5 0.250 0.015 0.892
S6 0.750 0.715 0.782
S7 0.750 0.485 0.392
S8 0.250 0.515 0.608
```